No. 1
# Sm4As2Br3

Crystalline Sm4As2Br3 at its relaxed geometry (GGA-PBE, Alexandria).

a b c (Å): 4.1977 4.1977 17.7041
angles (deg): 90.05 90.05 60.00
Element x y z (fractional)
Sm 0.0008 0.0008 0.2935
Sm 0.3337 0.3337 0.1176
Sm 0.6663 0.6663 0.8824
Sm 0.9992 0.9992 0.7065
As 0.3328 0.3328 0.7969
As 0.6672 0.6672 0.2031
Br 0.0000 0.0000 0.0000
Br 0.3344 0.3344 0.3960
Br 0.6656 0.6656 0.6040

No. 2
# Rb3TeF

Crystalline Rb3TeF at its relaxed geometry (GGA-PBE, Alexandria).

Computed properties:
E above lowest polymorph (eV per formula unit): 0.64

a b c (Å): 9.7677 9.7677 9.7677
angles (deg): 51.24 51.24 51.24
Element x y z (fractional)
Rb 0.0599 0.7500 0.4401
Rb 0.2500 0.5599 0.9401
Rb 0.4401 0.0599 0.7500
Rb 0.5599 0.9401 0.2500
Rb 0.7500 0.4401 0.0599
Rb 0.9401 0.2500 0.5599
Te 0.0000 0.0000 0.0000
Te 0.5000 0.5000 0.5000
F 0.2500 0.2500 0.2500
F 0.7500 0.7500 0.7500

No. 3
# Cs4NbO5

Crystalline Cs4NbO5 at its relaxed geometry (GGA-PBE, Alexandria).

Computed properties:
E above lowest polymorph (eV per formula unit): 0.00

a b c (Å): 7.0913 7.0913 7.0913
angles (deg): 101.34 101.34 127.35
Element x y z (fractional)
Cs 0.1025 0.2950 0.3974
Cs 0.2950 0.8975 0.1925
Cs 0.7050 0.1025 0.8075
Cs 0.8975 0.7050 0.6026
Nb 0.5457 0.5457 0.0000
O 0.2623 0.5339 0.8638
O 0.3986 0.2623 0.7284
O 0.5339 0.6701 0.2716
O 0.6701 0.3986 0.1362
O 0.8438 0.8438 0.0000

no.,formation energy without anion corrections (meV/atom),total moment (μB per cell),uncorrected energy (eV per atom)
1,-1571,0.00,-5.260
2,-1553,0.00,-3.136
3,-1789,1.00,-5.616